Material: La2BeAl
Method: DFT, GGA-PBE
State: optimized geometry

Computed properties:
V = 94 Å³/cell
Total moment = 0.0 Bohr magnetons per cell
DFT formation energy = 0.36 eV/atom
N(E_F) = 7.9 states/eV/cell

Geometry as POSCAR:
```
La2BeAl
1.0
0.0000 3.6093 3.6093
3.6093 0.0000 3.6093
3.6093 3.6093 0.0000
La Be Al
2 1 1
direct
0.0000 0.0000 0.0000
0.2500 0.2500 0.2500
0.5000 0.5000 0.5000
0.7500 0.7500 0.7500
```

Material: Nb3Cr3C
Method: DFT, GGA-PBE
State: optimized geometry

Computed properties:
V = 387 Å³/cell
Total moment = 0.0 Bohr magnetons per cell
DFT formation energy = -0.20 eV/atom
N(E_F) = 12.8 states/eV/cell

Geometry as POSCAR:
```
Nb3Cr3C
1.0
0.0000 5.7817 5.7817
5.7817 0.0000 5.7817
5.7817 5.7817 0.0000
Nb Cr C
12 12 4
direct
0.0678 0.0678 0.6822
0.0678 0.6822 0.0678
0.0678 0.6822 0.6822
0.3178 0.3178 0.9322
0.3178 0.9322 0.3178
0.3178 0.9322 0.9322
0.6822 0.0678 0.0678
0.6822 0.0678 0.6822
0.6822 0.6822 0.0678
0.9322 0.3178 0.3178
0.9322 0.3178 0.9322
0.9322 0.9322 0.3178
0.0000 0.5000 0.5000
0.2966 0.2966 0.2966
0.2966 0.2966 0.6102
0.2966 0.6102 0.2966
0.3898 0.7034 0.7034
0.5000 0.0000 0.5000
0.5000 0.5000 0.0000
0.5000 0.5000 0.5000
0.6102 0.2966 0.2966
0.7034 0.3898 0.7034
0.7034 0.7034 0.3898
0.7034 0.7034 0.7034
0.0000 0.0000 0.0000
0.0000 0.0000 0.5000
0.0000 0.5000 0.0000
0.5000 0.0000 0.0000
```

Material: SrScAs
Method: DFT, GGA-PBE
State: optimized geometry

Computed properties:
V = 84 Å³/cell
Total moment = 0.0 Bohr magnetons per cell
DFT formation energy = -0.68 eV/atom
N(E_F) = 1.6 states/eV/cell

Geometry as POSCAR:
```
SrScAs
1.0
-1.8561 1.8561 6.1154
1.8561 -1.8561 6.1154
1.8561 1.8561 -6.1154
Sr Sc As
1 1 1
direct
0.0000 0.0000 0.0000
0.2683 0.2683 0.0000
0.6983 0.6983 0.0000
```

Material: HfPaCu4
Method: DFT, GGA-PBE
State: optimized geometry

Computed properties:
V = 94 Å³/cell
Total moment = 0.0 Bohr magnetons per cell
DFT formation energy = -0.03 eV/atom
N(E_F) = 6.2 states/eV/cell

Geometry as POSCAR:
```
HfPaCu4
1.0
0.0000 3.6104 3.6104
3.6104 0.0000 3.6104
3.6104 3.6104 0.0000
Hf Pa Cu
1 1 4
direct
0.0000 0.0000 0.0000
0.2500 0.2500 0.2500
0.1228 0.6257 0.6257
0.6257 0.1228 0.6257
0.6257 0.6257 0.1228
0.6257 0.6257 0.6257
```

Material: Ca4Pd2F
Method: DFT, GGA-PBE
State: optimized geometry

Computed properties:
V = 171 Å³/cell
Total moment = 0.0 Bohr magnetons per cell
N(E_F) = 4.2 states/eV/cell
Uncorrected formation energy = -1175 meV/atom

Geometry as POSCAR:
```
Ca4Pd2F
1.0
-2.3204 2.3204 7.9259
2.3204 -2.3204 7.9259
2.3204 2.3204 -7.9259
Ca Pd F
4 2 1
direct
0.0000 0.5000 0.5000
0.1872 0.1872 0.0000
0.5000 0.0000 0.5000
0.8128 0.8128 0.0000
0.3729 0.3729 0.0000
0.6271 0.6271 0.0000
0.0000 0.0000 0.0000
```

Material: Sc2ZnPb
Method: DFT, GGA-PBE
State: optimized geometry

Computed properties:
V = 86 Å³/cell
Total moment = 0.7 Bohr magnetons per cell
DFT formation energy = -0.33 eV/atom
N(E_F) = 2.9 states/eV/cell

Geometry as POSCAR:
```
Sc2ZnPb
1.0
4.5522 0.0000 0.0000
0.0000 4.5522 0.0000
0.0000 0.0000 4.1568
Sc Zn Pb
2 1 1
direct
0.0000 0.5000 0.0000
0.5000 0.0000 0.0000
0.0000 0.0000 0.5000
0.5000 0.5000 0.5000
```

Material: Tb3Pd8
Method: DFT, GGA-PBE
State: optimized geometry

Computed properties:
V = 233 Å³/cell
Total moment = 0.0 Bohr magnetons per cell
DFT formation energy = -0.43 eV/atom
N(E_F) = 1.5 states/eV/cell

Geometry as POSCAR:
```
Tb3Pd8
1.0
4.6654 2.6936 3.0889
-4.6654 2.6936 3.0889
0.0000 -5.3871 3.0889
Tb Pd
3 8
direct
0.0000 0.5000 0.5000
0.5000 0.0000 0.5000
0.5000 0.5000 0.0000
0.0358 0.9340 0.6878
0.0660 0.3122 0.9642
0.3122 0.9642 0.0660
0.3597 0.3597 0.3597
0.6403 0.6403 0.6403
0.6878 0.0358 0.9340
0.9340 0.6878 0.0358
0.9642 0.0660 0.3122
```

Material: CrCoRePd2
Method: DFT, GGA-PBE
State: optimized geometry

Computed properties:
V = 80 Å³/cell
Total moment = 0.6 Bohr magnetons per cell
DFT formation energy = 1.46 eV/atom
N(E_F) = 9.1 states/eV/cell

Geometry as POSCAR:
```
CrCoRePd2
1.0
4.5006 0.0000 0.0000
0.0000 4.5006 0.0000
0.0000 0.0000 3.9490
Cr Co Re Pd
1 1 1 2
direct
0.0000 0.0000 0.0000
0.0000 0.0000 0.5000
0.5000 0.5000 0.0000
0.0000 0.5000 0.5000
0.5000 0.0000 0.5000
```

Material: HfBF2
Method: DFT, GGA-PBE
State: optimized geometry

Computed properties:
V = 44 Å³/cell
Total moment = 0.0 Bohr magnetons per cell
N(E_F) = 3.4 states/eV/cell
Uncorrected formation energy = -682 meV/atom

Geometry as POSCAR:
```
HfBF2
1.0
0.0000 2.8125 2.8125
2.8125 0.0000 2.8125
2.8125 2.8125 0.0000
Hf B F
1 1 2
direct
0.0000 0.0000 0.0000
0.5000 0.5000 0.5000
0.2500 0.2500 0.2500
0.7500 0.7500 0.7500
```

Material: Np2PaAs2N2
Method: DFT, GGA-PBE
State: optimized geometry

Computed properties:
V = 138 Å³/cell
Total moment = 7.0 Bohr magnetons per cell
N(E_F) = 14.0 states/eV/cell
Uncorrected formation energy = -1095 meV/atom

Geometry as POSCAR:
```
Np2PaAs2N2
1.0
6.0081 -1.9330 0.0000
6.0081 1.9330 0.0000
-3.6822 0.0000 5.9375
Np Pa As N
2 1 2 2
direct
0.1858 0.1858 0.2413
0.8142 0.8142 0.7587
0.0000 0.0000 0.5000
0.4328 0.4328 0.1495
0.5672 0.5672 0.8505
0.2023 0.2023 0.5875
0.7977 0.7977 0.4125
```

Material: BaNaMg2Au4
Method: DFT, GGA-PBE
State: optimized geometry

Computed properties:
V = 197 Å³/cell
Total moment = 0.0 Bohr magnetons per cell
DFT formation energy = -0.53 eV/atom
N(E_F) = 3.4 states/eV/cell

Geometry as POSCAR:
```
BaNaMg2Au4
1.0
2.3698 1.3682 10.1459
-2.3698 1.3682 10.1459
0.0000 -2.7365 10.1459
Ba Na Mg Au
1 1 2 4
direct
0.0000 0.0000 0.0000
0.5000 0.5000 0.5000
0.2366 0.2366 0.2366
0.7634 0.7634 0.7634
0.1118 0.1118 0.1118
0.4039 0.4039 0.4039
0.5961 0.5961 0.5961
0.8882 0.8882 0.8882
```

Material: Nd2TiP2N6
Method: DFT, GGA-PBE
State: optimized geometry

Computed properties:
V = 139 Å³/cell
Total moment = 0.0 Bohr magnetons per cell
Uncorrected formation energy = -1035 meV/atom

Geometry as POSCAR:
```
Nd2TiP2N6
1.0
2.7464 1.5856 5.3245
-2.7464 1.5856 5.3245
0.0000 -3.1713 5.3245
Nd Ti P N
2 1 2 6
direct
0.2204 0.2204 0.2204
0.7796 0.7796 0.7796
0.0000 0.0000 0.0000
0.4349 0.4349 0.4349
0.5651 0.5651 0.5651
0.2473 0.2473 0.7468
0.2473 0.7468 0.2473
0.2532 0.7527 0.7527
0.7468 0.2473 0.2473
0.7527 0.2532 0.7527
0.7527 0.7527 0.2532
```

Material: AlTl2Sb
Method: DFT, GGA-PBE
State: optimized geometry

Computed properties:
V = 113 Å³/cell
Total moment = 0.0 Bohr magnetons per cell
N(E_F) = 1.4 states/eV/cell
Uncorrected formation energy = 89 meV/atom

Geometry as POSCAR:
```
AlTl2Sb
1.0
3.8474 -1.6763 0.0000
3.8474 1.6763 0.0000
-1.0829 0.0000 8.7872
Al Tl Sb
1 2 1
direct
0.0000 0.0000 0.0000
0.4992 0.4992 0.5286
0.7362 0.7362 0.2360
0.2648 0.2648 0.8139
```

Material: ZrAsIr
Method: DFT, GGA-PBE
State: optimized geometry

Computed properties:
V = 53 Å³/cell
Total moment = 0.0 Bohr magnetons per cell
DFT formation energy = -0.43 eV/atom
N(E_F) = 1.4 states/eV/cell

Geometry as POSCAR:
```
ZrAsIr
1.0
-1.5532 2.1128 4.0526
1.5532 -2.1128 4.0526
1.5532 2.1128 -4.0526
Zr As Ir
1 1 1
direct
0.0000 0.0000 0.0000
0.6695 0.6695 0.0000
0.3435 0.3435 0.0000
```

Material: Si2HgP
Method: DFT, GGA-PBE
State: optimized geometry

Computed properties:
V = 73 Å³/cell
Total moment = 0.0 Bohr magnetons per cell
N(E_F) = 2.5 states/eV/cell
Uncorrected formation energy = 255 meV/atom

Geometry as POSCAR:
```
Si2HgP
1.0
1.7835 1.0297 6.6074
-1.7835 1.0297 6.6074
0.0000 -2.0594 6.6074
Si Hg P
2 1 1
direct
0.2348 0.2348 0.2348
0.7652 0.7652 0.7652
0.0000 0.0000 0.0000
0.5000 0.5000 0.5000
```

Material: Pm2MnAs4Pt3
Method: DFT, GGA-PBE
State: optimized geometry

Computed properties:
V = 189 Å³/cell
Total moment = 0.3 Bohr magnetons per cell
DFT formation energy = -0.76 eV/atom
N(E_F) = 7.1 states/eV/cell

Geometry as POSCAR:
```
Pm2MnAs4Pt3
1.0
4.1760 0.0000 0.0000
0.0000 4.1760 0.0000
0.0000 0.0000 10.8286
Pm Mn As Pt
2 1 4 3
direct
0.0000 0.5000 0.2368
0.5000 0.0000 0.7632
0.5000 0.5000 0.0000
0.0000 0.0000 0.5000
0.0000 0.5000 0.8736
0.5000 0.0000 0.1264
0.5000 0.5000 0.5000
0.0000 0.0000 0.0000
0.0000 0.5000 0.6464
0.5000 0.0000 0.3536
```

Material: Li2AgOs
Method: DFT, GGA-PBE
State: optimized geometry

Computed properties:
V = 55 Å³/cell
Total moment = 1.2 Bohr magnetons per cell
DFT formation energy = 0.59 eV/atom
N(E_F) = 3.8 states/eV/cell

Geometry as POSCAR:
```
Li2AgOs
1.0
0.0000 3.0225 3.0225
3.0225 0.0000 3.0225
3.0225 3.0225 0.0000
Li Ag Os
2 1 1
direct
0.2500 0.2500 0.2500
0.7500 0.7500 0.7500
0.0000 0.0000 0.0000
0.5000 0.5000 0.5000
```

Material: YTl3Cd
Method: DFT, GGA-PBE
State: optimized geometry

Computed properties:
V = 217 Å³/cell
Total moment = 0.0 Bohr magnetons per cell
DFT formation energy = 0.50 eV/atom
N(E_F) = 5.3 states/eV/cell

Geometry as POSCAR:
```
YTl3Cd
1.0
6.0076 0.0000 0.0000
0.0000 6.0076 0.0000
0.0000 0.0000 6.0076
Y Tl Cd
1 3 1
direct
0.0000 0.0000 0.0000
0.0000 0.0000 0.5000
0.0000 0.5000 0.0000
0.5000 0.0000 0.0000
0.5000 0.5000 0.5000
```

Material: RbDyCl4
Method: DFT, GGA-PBE
State: optimized geometry

Computed properties:
V = 397 Å³/cell
Total moment = 0.0 Bohr magnetons per cell
N(E_F) = 0.0 states/eV/cell
Uncorrected formation energy = -2133 meV/atom

Geometry as POSCAR:
```
RbDyCl4
1.0
7.5725 -3.6720 0.0000
7.5725 3.6720 0.0000
-0.2253 0.0000 7.1463
Rb Dy Cl
2 2 8
direct
0.2152 0.2152 0.2667
0.7848 0.7848 0.7333
0.4657 0.4657 0.7256
0.5343 0.5343 0.2744
0.1824 0.6166 0.4383
0.2585 0.7415 0.0000
0.3048 0.3048 0.8380
0.3834 0.8176 0.5617
0.6166 0.1824 0.4383
0.6952 0.6952 0.1620
0.7415 0.2585 0.0000
0.8176 0.3834 0.5617
```

Material: Ac2TmS4
Method: DFT, GGA-PBE
State: optimized geometry

Computed properties:
V = 184 Å³/cell
Total moment = 0.0 Bohr magnetons per cell
N(E_F) = 0.7 states/eV/cell
Uncorrected formation energy = -2062 meV/atom

Geometry as POSCAR:
```
Ac2TmS4
1.0
6.4598 -1.9993 0.0000
6.4598 1.9993 0.0000
-4.0520 0.0000 7.1363
Ac Tm S
2 1 4
direct
0.1526 0.1526 0.1986
0.8474 0.8474 0.8014
0.5000 0.5000 0.5000
0.1594 0.1594 0.5733
0.4422 0.4422 0.1369
0.5578 0.5578 0.8631
0.8406 0.8406 0.4267
```